Here is crystalline PmZn3In at its relaxed geometry from Alexandria. Energies are from GGA-PBE.

Properties
Its crystal system is monoclinic. For the formation energy, the calculation gives -33.1 kJ/mol of atoms. Its density of states at the Fermi level is 6.73 states/eV/cell. The value obtained for the density is 7.37 Mg/m³. The calculation puts the excess energy over the best structure of this formula in the dataset at 0 meV/atom.

Cell: 10.934 6.135 6.126 Å, 90.00 90.04 90.00°
Space group C2/m (No. 12)
Unique sites:
1 Pm 0.250 0.000 0.248
2 Zn 0.000 0.252 0.500
3 Zn 0.139 0.000 0.723
4 Zn 0.140 0.500 0.276
5 In 0.000 0.250 0.000


Here is crystalline CaNd6DyTm2 at its relaxed geometry from Alexandria. Energies are from GGA-PBE.

Properties
Its crystal system is monoclinic. For the formation energy, the calculation gives 13.1 kJ/mol of atoms. Its density of states at the Fermi level is 61.03 states/eV/cell. The value obtained for the density is 6.72 Mg/m³.

Cell: 9.221 15.451 9.861 Å, 90.00 98.60 90.00°
Space group C2/c (No. 15)
Unique sites:
1 Ca 0.000 0.099 0.250
2 Nd 0.062 0.326 0.448
3 Nd 0.103 0.105 0.622
4 Nd 0.204 0.270 0.823
5 Dy 0.000 0.472 0.750
6 Tm 0.246 0.450 0.044


Copy entry 2 word for word.
Here is crystalline CaNd6DyTm2 at its relaxed geometry from Alexandria. Energies are from GGA-PBE.

Properties
Its crystal system is monoclinic. For the formation energy, the calculation gives 13.1 kJ/mol of atoms. Its density of states at the Fermi level is 61.03 states/eV/cell. The value obtained for the density is 6.72 Mg/m³.

Cell: 9.221 15.451 9.861 Å, 90.00 98.60 90.00°
Space group C2/c (No. 15)
Unique sites:
1 Ca 0.000 0.099 0.250
2 Nd 0.062 0.326 0.448
3 Nd 0.103 0.105 0.622
4 Nd 0.204 0.270 0.823
5 Dy 0.000 0.472 0.750
6 Tm 0.246 0.450 0.044